# 1
Entry from the Alexandria database: a geometry-optimized SrMgZr2 structure (GGA-PBEsol).

abc: 3.221 5.914 6.555
angles: 116.81 104.22 90.00
Fractional positions:
Zr: 0.027 0.027 0.055
Mg: 0.483 0.483 0.965
Sr: 0.248 0.748 0.496
Zr: 0.742 0.242 0.484

M_tot in μB/f.u.: 0.00
Crystal system: orthorhombic
DFT formation energy in eV per atom: 0.443

---

# 2
Entry from the Alexandria database: a geometry-optimized SrMgZn2Co structure (GGA-PBEsol).

abc: 4.918 5.512 5.512
angles: 90.00 90.00 90.00
Each line ends with the local moment (μB).
Fractional positions:
Mg: 0.500 0.500 0.500  0.00
Zn: 0.000 0.000 0.500  0.00
Co: 0.500 0.000 0.000  1.48
Zn: 0.000 0.500 0.000  0.00
Sr: 0.000 0.000 0.000  -0.06

M_tot in μB/f.u.: 1.37
Crystal system: tetragonal
DFT formation energy in eV per atom: 1.342

---

# 3
Entry from the Alexandria database: a geometry-optimized GeTe2N2 structure (GGA-PBEsol).

abc: 4.041 4.041 6.082
angles: 90.00 90.00 90.00
Fractional positions:
Ge: 0.500 0.500 0.500
Te: 0.000 0.000 0.000
N: 0.500 0.000 0.000
Te: 0.000 0.000 0.500
N: 0.000 0.500 0.000

M_tot in μB/f.u.: 0.00
Crystal system: tetragonal
E_form (uncorrected) in eV/atom: 1.311

---

# 4
Entry from the Alexandria database: a geometry-optimized Cd2HgSb2 structure (GGA-PBEsol).

abc: 5.153 5.153 6.506
angles: 113.33 113.33 90.00
Fractional positions:
Hg: 0.000 0.000 0.000
Sb: 0.629 0.629 0.257
Sb: 0.371 0.371 0.743
Cd: 0.750 0.250 0.500
Cd: 0.250 0.750 0.500

M_tot in μB/f.u.: 0.00
Crystal system: tetragonal
E_form (uncorrected) in eV/atom: 0.091

---

# 5
Entry from the Alexandria database: a geometry-optimized MoIr2Ru structure (GGA-PBEsol).

abc: 3.819 3.819 3.855
angles: 90.00 90.00 90.00
Fractional positions:
Ir: 0.000 0.500 0.000
Mo: 0.500 0.500 0.500
Ir: 0.500 0.000 0.000
Ru: 0.000 0.000 0.500

M_tot in μB/f.u.: 0.00
Crystal system: tetragonal
DFT formation energy in eV per atom: -0.249
Excess energy over the best structure of this formula in the dataset in meV per atom: 20

---

# 6
Entry from the Alexandria database: a geometry-optimized CaTlCd2 structure (GGA-PBEsol).

abc: 4.711 4.546 4.546
angles: 89.97 90.00 90.00
Fractional positions:
Tl: 0.500 0.000 0.000
Cd: 0.000 0.000 0.500
Ca: 0.500 0.500 0.500
Cd: 0.000 0.500 0.000

M_tot in μB/f.u.: 0.00
Crystal system: tetragonal
DFT formation energy in eV per atom: -0.251
Excess energy over the best structure of this formula in the dataset in meV per atom: 12

---

# 7
Entry from the Alexandria database: a geometry-optimized ZrIrAu2 structure (GGA-PBEsol).

abc: 4.594 4.594 4.594
angles: 60.00 60.00 60.00
Fractional positions:
Ir: 0.500 0.500 0.500
Zr: 0.250 0.250 0.250
Au: 0.750 0.750 0.750
Au: 0.000 0.000 0.000

M_tot in μB/f.u.: 0.00
Crystal system: cubic
DFT formation energy in eV per atom: -0.335
Excess energy over the best structure of this formula in the dataset in meV per atom: 182

---

# 8
Entry from the Alexandria database: a geometry-optimized BaTe2Au structure (GGA-PBEsol).

abc: 6.941 6.941 6.941
angles: 106.73 106.73 115.10
Fractional positions:
Ba: 0.750 0.250 0.500
Te: 0.297 0.375 0.422
Te: 0.953 0.875 0.578
Ba: 0.500 0.500 0.000
Au: 0.000 0.000 0.000
Te: 0.625 0.047 0.922
Te: 0.125 0.703 0.078
Au: 0.250 0.750 0.500

M_tot in μB/f.u.: 0.00
Crystal system: tetragonal
E_form (uncorrected) in eV/atom: -0.837
Excess energy over the best structure of this formula in the dataset in meV per atom: 0

---

# 9
Entry from the Alexandria database: a geometry-optimized Sr4SbTe structure (GGA-PBEsol).

abc: 6.685 6.685 6.685
angles: 60.00 60.00 60.00
Fractional positions:
Te: 0.750 0.750 0.750
Sr: 0.375 0.375 0.375
Sr: 0.375 0.876 0.375
Sb: 0.000 0.000 0.000
Sr: 0.375 0.375 0.876
Sr: 0.876 0.375 0.375

M_tot in μB/f.u.: 0.00
Crystal system: cubic
E_form (uncorrected) in eV/atom: -0.143

---

# 10
Entry from the Alexandria database: a geometry-optimized KReAu structure (GGA-PBEsol).

abc: 4.790 4.790 4.790
angles: 60.00 60.00 60.00
Each line ends with the local moment (μB).
Fractional positions:
K: 0.000 0.000 0.000  0.02
Re: 0.500 0.500 0.500  3.18
Au: 0.250 0.250 0.250  0.20

M_tot in μB/f.u.: 4.10
Crystal system: cubic
DFT formation energy in eV per atom: 1.878

---

# 11
Entry from the Alexandria database: a geometry-optimized SrSb structure (GGA-PBEsol).

abc: 6.403 6.403 6.403
angles: 90.00 90.00 90.00
Fractional positions:
Sr: 0.094 0.094 0.094
Sb: 0.594 0.906 0.094
Sb: 0.406 0.406 0.406
Sr: 0.906 0.594 0.406
Sr: 0.594 0.406 0.906
Sr: 0.406 0.906 0.594
Sb: 0.906 0.094 0.594
Sb: 0.094 0.594 0.906

M_tot in μB/f.u.: 0.00
Crystal system: cubic
E_form (uncorrected) in eV/atom: -0.679

---

# 12
Entry from the Alexandria database: a geometry-optimized V2CuMo structure (GGA-PBEsol).

abc: 4.212 4.212 4.212
angles: 60.00 60.00 60.00
Fractional positions:
Mo: 0.000 0.000 0.000
V: 0.250 0.250 0.250
V: 0.750 0.750 0.750
Cu: 0.500 0.500 0.500

M_tot in μB/f.u.: 0.01
Crystal system: cubic
DFT formation energy in eV per atom: 0.115

---

Please write out number 3 again, unchanged.
Entry from the Alexandria database: a geometry-optimized GeTe2N2 structure (GGA-PBEsol).

abc: 4.041 4.041 6.082
angles: 90.00 90.00 90.00
Fractional positions:
Ge: 0.500 0.500 0.500
Te: 0.000 0.000 0.000
N: 0.500 0.000 0.000
Te: 0.000 0.000 0.500
N: 0.000 0.500 0.000

M_tot in μB/f.u.: 0.00
Crystal system: tetragonal
E_form (uncorrected) in eV/atom: 1.311

---

What is the formula in the eleventh record? SrSb

---

What did the sixth record say?
Entry from the Alexandria database: a geometry-optimized CaTlCd2 structure (GGA-PBEsol).

abc: 4.711 4.546 4.546
angles: 89.97 90.00 90.00
Fractional positions:
Tl: 0.500 0.000 0.000
Cd: 0.000 0.000 0.500
Ca: 0.500 0.500 0.500
Cd: 0.000 0.500 0.000

M_tot in μB/f.u.: 0.00
Crystal system: tetragonal
DFT formation energy in eV per atom: -0.251
Excess energy over the best structure of this formula in the dataset in meV per atom: 12

---

What is the M_tot in the twelfth record? 0.01 μB/f.u.